Here is a relaxed structure of LaCrAs2C from Alexandria via LeMat-Bulk. Energies are from PBE-GGA.

The structure belongs to space group P4/mmm (No. 123); the cell edges are 4.925, 4.925 and 3.801 Å and the angles 90.00°, 90.00° and 90.00°. The inequivalent atoms are La at (0.000, 0.000, 0.000), Cr at (0.500, 0.500, 0.500), As at (0.000, 0.500, 0.500) and C at (0.500, 0.500, 0.000).

The calculation puts the formation energy at 0.015 eV per atom. Its density of states at the Fermi level is 0.95 states/eV per atom. For the magnetic moment, the calculation gives 0.0 Bohr magnetons per cell.

=====

Here is a relaxed structure of CaCu2AsO4 from Alexandria via LeMat-Bulk. Energies are from PBE-GGA.

The structure belongs to space group I222 (No. 23); the cell edges are 5.514, 5.687 and 6.561 Å and the angles 90.00°, 90.00° and 90.00°. The inequivalent atoms are Ca at (0.000, 0.000, 0.000), Cu at (0.000, 0.500, 0.207), As at (0.000, 0.000, 0.500) and O at (0.197, 0.180, 0.319).

The formation energy (no corrections) is -1164 meV per atom. Its density of states at the Fermi level is 0.38 states/eV per atom. For the magnetic moment, the calculation gives 0.0 Bohr magnetons per cell.

=====

Here is a relaxed structure of PaGaI from Alexandria via LeMat-Bulk. Energies are from PBE-GGA.

The structure belongs to space group Amm2 (No. 38); the cell edges are 15.173, 3.596 and 6.228 Å and the angles 90.00°, 90.00° and 90.00°. The inequivalent atoms are Pa at (0.151, 0.000, 0.000), Ga at (0.000, 0.000, 0.667), Ga at (0.500, 0.000, 0.979) and I at (0.307, 0.000, 0.666).

The formation energy (no corrections) is -93 meV per atom. Its density of states at the Fermi level is 1.58 states/eV per atom. For the magnetic moment, the calculation gives 2.0 Bohr magnetons per cell.

=====

Here is a relaxed structure of Sn2AuCl from Alexandria via LeMat-Bulk. Energies are from PBE-GGA.

The structure belongs to space group R-3m (No. 166, hexagonal axes); the cell edges are 3.9207, 3.9207 and 23.7228 Å and the angles 90.00°, 90.00° and 120.00°. The inequivalent atoms are Sn at (0.0000, 0.0000, 0.2406), Au at (0.0000, 0.0000, 0.5000) and Cl at (0.0000, 0.0000, 0.0000).

The polymorph energy (0 for the lowest one) comes out at 0.000 eV/atom. The formation energy (no corrections) is -310 meV per atom. Its density of states at the Fermi level is 0.49 states/eV per atom. For the magnetic moment, the calculation gives 0.0 Bohr magnetons per cell.

=====

Here is a relaxed structure of LiTmCd14 from Alexandria via LeMat-Bulk. Energies are from PBE-GGA.

The structure belongs to space group P4/mmm (No. 123); the cell edges are 6.469, 6.469 and 8.604 Å and the angles 90.00°, 90.00° and 90.00°. The inequivalent atoms are Li at (0.000, 0.000, 0.000), Tm at (0.500, 0.500, 0.000), Cd at (0.000, 0.000, 0.500), Cd at (0.000, 0.500, 0.000), Cd at (0.000, 0.500, 0.500), Cd at (0.245, 0.245, 0.250) and Cd at (0.500, 0.500, 0.500).

The calculation puts the formation energy at -0.094 eV per atom. Its density of states at the Fermi level is 0.43 states/eV per atom. For the magnetic moment, the calculation gives 0.0 Bohr magnetons per cell.

=====

Here is a relaxed structure of AlSiPb2 from Alexandria via LeMat-Bulk. Energies are from PBE-GGA.

The structure belongs to space group Pmm2 (No. 25); the cell edges are 3.463, 3.570 and 7.865 Å and the angles 90.00°, 90.00° and 90.00°. The inequivalent atoms are Al at (0.000, 0.000, 0.000), Si at (0.500, 0.500, 0.879), Pb at (0.000, 0.000, 0.612) and Pb at (0.500, 0.500, 0.269).

The formation energy (no corrections) is 237 meV per atom. Its density of states at the Fermi level is 0.32 states/eV per atom. For the magnetic moment, the calculation gives 0.0 Bohr magnetons per cell.

=====

Here is a relaxed structure of Y2GaBCl from Alexandria via LeMat-Bulk. Energies are from PBE-GGA.

The structure belongs to space group P4/mmm (No. 123); the cell edges are 5.067, 5.067 and 4.749 Å and the angles 90.00°, 90.00° and 90.00°. The inequivalent atoms are Y at (0.000, 0.500, 0.000), Ga at (0.000, 0.000, 0.500), B at (0.500, 0.500, 0.500) and Cl at (0.000, 0.000, 0.000).

The formation energy (no corrections) is 521 meV per atom. Its density of states at the Fermi level is 0.45 states/eV per atom. For the magnetic moment, the calculation gives 0.0 Bohr magnetons per cell.

=====

Here is a relaxed structure of Ho12Tm6Mg from Alexandria via LeMat-Bulk. Energies are from PBE-GGA.

The structure belongs to space group R-3 (No. 148, hexagonal axes); the cell edges are 11.7274, 11.7274 and 14.8874 Å and the angles 90.00°, 90.00° and 120.00°. The inequivalent atoms are Ho at (0.0037, 0.1776, 0.3132), Ho at (0.0455, 0.8496, 0.9154), Tm at (0.0188, 0.4275, 0.1889) and Mg at (0.0000, 0.0000, 0.5000).

The polymorph energy (0 for the lowest one) comes out at 0.000 eV/atom. The calculation puts the formation energy at 0.142 eV per atom. Its density of states at the Fermi level is 1.64 states/eV per atom. For the magnetic moment, the calculation gives 0.0 Bohr magnetons per cell.